1.
A relaxed structure of YAg3O. Source: the Alexandria database, functional PBEsol.

Unit cell a=5.464 b=5.464 c=5.464 alpha=90.00 beta=90.00 gamma=90.00
Positions (direct):
Y1 0.000 0.000 0.000
Ag1 0.000 0.000 0.500
Ag2 0.000 0.500 0.000
Ag3 0.500 0.000 0.000
O1 0.500 0.500 0.500

Results
ΔE_f (raw): 1.61 eV/atom
space group: Pm-3m (221)

=====

2.
A relaxed structure of CaSb2O4. Source: the Alexandria database, functional PBEsol.

Unit cell a=6.658 b=6.658 c=6.658 alpha=114.38 beta=114.38 gamma=100.05
Positions (direct):
Ca1 0.000 0.000 0.000
Ca2 0.750 0.250 0.500
Sb1 0.313 0.592 0.716
Sb2 0.403 0.687 0.279
Sb3 0.408 0.124 0.721
Sb4 0.876 0.597 0.284
O1 0.045 0.310 0.367
O2 0.189 0.449 0.876
O3 0.322 0.955 0.265
O4 0.551 0.426 0.739
O5 0.574 0.313 0.124
O6 0.687 0.811 0.261
O7 0.690 0.056 0.735
O8 0.944 0.678 0.633

Results
ΔE_f (raw): -1.81 eV/atom
offset from the most stable computed form: 0.003 eV per atom
space group: I-4 (82)

=====

3.
A relaxed structure of LaZrTl2. Source: the Alexandria database, functional PBEsol.

Unit cell a=3.341 b=3.341 c=8.914 alpha=90.00 beta=90.00 gamma=90.00
Positions (direct):
La1 0.000 0.000 0.000
Zr1 0.000 0.000 0.500
Tl1 0.500 0.500 0.270
Tl2 0.500 0.500 0.730

Results
E_form: -0.283 eV per atom
space group: P4/mmm (123)

=====

4.
A relaxed structure of Ti2Te3. Source: the Alexandria database, functional PBEsol.

Unit cell a=7.358 b=7.716 c=9.068 alpha=90.74 beta=104.81 gamma=106.01
Positions (direct):
Ti1 0.007 0.245 0.018
Ti2 0.333 0.838 0.839
Ti3 0.344 0.115 0.336
Ti4 0.349 0.562 0.351
Ti5 0.651 0.438 0.649
Ti6 0.656 0.885 0.664
Ti7 0.667 0.162 0.161
Ti8 0.993 0.755 0.982
Te1 0.053 0.506 0.796
Te2 0.060 0.025 0.795
Te3 0.254 0.313 0.541
Te4 0.264 0.818 0.523
Te5 0.389 0.837 0.150
Te6 0.407 0.361 0.127
Te7 0.593 0.639 0.873
Te8 0.611 0.163 0.850
Te9 0.736 0.182 0.477
Te10 0.746 0.687 0.459
Te11 0.940 0.975 0.205
Te12 0.947 0.494 0.204

Results
ΔE_f (raw): -0.75 eV/atom
space group: P-1 (2)

=====

What raw total energy values result from the calculations? In sequence: -13.96, -89.77, -20.83, -123.85 eV/cell.